Record 1
## Pr8Sb2Ru (PBE)

Data for crystalline Pr8Sb2Ru at its relaxed geometry.

Properties
As for the uncorrected formation energy: -440.3 meV per atom. As for the space-group type: C2/m, No. 12.

Structure (CIF):
```
data_Pr8Sb2Ru
_cell_length_a 4.768
_cell_length_b 7.732
_cell_length_c 9.980
_cell_angle_alpha 98.49
_cell_angle_beta 103.82
_cell_angle_gamma 90.00
_symmetry_space_group_name_H-M 'P 1'
_symmetry_Int_Tables_number 1
_symmetry_space_group_name_Hall 'P 1'
loop_
_atom_site_label
_atom_site_fract_x
_atom_site_fract_y
_atom_site_fract_z
_atom_site_occupancy
Sb1 0.182 0.764 0.363 1
Pr1 0.595 0.512 0.190 1
Pr2 0.995 0.219 0.989 1
Pr3 0.005 0.781 0.011 1
Pr4 0.645 0.026 0.290 1
Sb2 0.818 0.236 0.637 1
Pr5 0.405 0.488 0.810 1
Pr6 0.355 0.974 0.710 1
Pr7 0.784 0.651 0.569 1
Ru1 0.500 0.000 0.000 1
Pr8 0.216 0.349 0.431 1
```

Record 2
## Tl2CrCu (PBE)

Data for crystalline Tl2CrCu at its relaxed geometry.

Properties
The value obtained for the energy above the most stable polymorph in this dataset is 0.96 eV/f.u. As for the space-group type: I-42d, No. 122.

Structure (CIF):
```
data_Tl2CrCu
_cell_length_a 4.386
_cell_length_b 4.386
_cell_length_c 10.109
_cell_angle_alpha 77.47
_cell_angle_beta 77.47
_cell_angle_gamma 90.00
_symmetry_space_group_name_H-M 'P 1'
_symmetry_Int_Tables_number 1
_symmetry_space_group_name_Hall 'P 1'
loop_
_atom_site_label
_atom_site_fract_x
_atom_site_fract_y
_atom_site_fract_z
_atom_site_occupancy
Cu1 0.750 0.250 0.500 1
Cu2 0.000 0.000 0.000 1
Tl1 0.375 0.368 0.750 1
Tl2 0.632 0.125 0.250 1
Cr1 0.250 0.750 0.500 1
Tl3 0.875 0.882 0.750 1
Tl4 0.118 0.625 0.250 1
Cr2 0.500 0.500 0.000 1
```

Record 3
## BiAs2HBr (PBE)

Data for crystalline BiAs2HBr at its relaxed geometry.

Properties
The value obtained for the energy above the most stable polymorph in this dataset is 0.00 eV/f.u. As for the space-group type: P4/mmm, No. 123.

Structure (CIF):
```
data_BiAs2HBr
_cell_length_a 4.234
_cell_length_b 4.234
_cell_length_c 5.681
_cell_angle_alpha 90.00
_cell_angle_beta 90.00
_cell_angle_gamma 90.00
_symmetry_space_group_name_H-M 'P 1'
_symmetry_Int_Tables_number 1
_symmetry_space_group_name_Hall 'P 1'
loop_
_atom_site_label
_atom_site_fract_x
_atom_site_fract_y
_atom_site_fract_z
_atom_site_occupancy
As1 0.500 0.000 0.000 1
Br1 0.000 0.000 0.500 1
H1 0.000 0.000 0.000 1
Bi1 0.500 0.500 0.500 1
As2 0.000 0.500 0.000 1
```

Record 4
## Ac2MgZn (PBE)

Data for crystalline Ac2MgZn at its relaxed geometry.

Properties
The value obtained for the energy above the most stable polymorph in this dataset is 1.92 eV/f.u. As for the space-group type: R-3m, No. 166.

Structure (CIF):
```
data_Ac2MgZn
_cell_length_a 3.782
_cell_length_b 3.782
_cell_length_c 12.423
_cell_angle_alpha 81.24
_cell_angle_beta 81.24
_cell_angle_gamma 60.00
_symmetry_space_group_name_H-M 'P 1'
_symmetry_Int_Tables_number 1
_symmetry_space_group_name_Hall 'P 1'
loop_
_atom_site_label
_atom_site_fract_x
_atom_site_fract_y
_atom_site_fract_z
_atom_site_occupancy
Mg1 0.500 0.500 0.500 1
Zn1 0.000 0.000 0.000 1
Ac1 0.909 0.909 0.272 1
Ac2 0.091 0.091 0.728 1
```

Record 5
## Ta2PbSe (PBE)

Data for crystalline Ta2PbSe at its relaxed geometry.

Properties
The value obtained for the energy above the most stable polymorph in this dataset is 1.41 eV/f.u. As for the uncorrected formation energy: 287.5 meV per atom. As for the space-group type: P4/mmm, No. 123.

Structure (CIF):
```
data_Ta2PbSe
_cell_length_a 3.294
_cell_length_b 3.294
_cell_length_c 7.076
_cell_angle_alpha 90.00
_cell_angle_beta 90.00
_cell_angle_gamma 90.00
_symmetry_space_group_name_H-M 'P 1'
_symmetry_Int_Tables_number 1
_symmetry_space_group_name_Hall 'P 1'
loop_
_atom_site_label
_atom_site_fract_x
_atom_site_fract_y
_atom_site_fract_z
_atom_site_occupancy
Pb1 0.500 0.500 0.250 1
Ta1 0.000 0.000 0.961 1
Se1 0.500 0.500 0.750 1
Ta2 0.000 0.000 0.539 1
```

Record 6
## TlSnSbTe3 (PBE)

Data for crystalline TlSnSbTe3 at its relaxed geometry.

Properties
As for the uncorrected formation energy: -211.6 meV per atom. As for the space-group type: P2_1/m, No. 11.

Structure (CIF):
```
data_TlSnSbTe3
_cell_length_a 4.409
_cell_length_b 9.662
_cell_length_c 10.077
_cell_angle_alpha 100.81
_cell_angle_beta 90.00
_cell_angle_gamma 90.00
_symmetry_space_group_name_H-M 'P 1'
_symmetry_Int_Tables_number 1
_symmetry_space_group_name_Hall 'P 1'
loop_
_atom_site_label
_atom_site_fract_x
_atom_site_fract_y
_atom_site_fract_z
_atom_site_occupancy
Tl1 0.750 0.840 0.803 1
Te1 0.250 0.667 0.468 1
Sb1 0.250 0.637 0.154 1
Sn1 0.750 0.872 0.461 1
Te2 0.750 0.416 0.151 1
Te3 0.750 0.870 0.165 1
Te4 0.750 0.333 0.532 1
Sb2 0.750 0.363 0.846 1
Sn2 0.250 0.128 0.539 1
Te5 0.250 0.584 0.849 1
Tl2 0.250 0.160 0.197 1
Te6 0.250 0.130 0.835 1
```

Record 7
## NdTiSi2 (PBE)

Data for crystalline NdTiSi2 at its relaxed geometry.

Properties
As for the uncorrected formation energy: -494.2 meV per atom. As for the space-group type: R-3m, No. 166.

Structure (CIF):
```
data_NdTiSi2
_cell_length_a 4.228
_cell_length_b 4.228
_cell_length_c 5.857
_cell_angle_alpha 68.85
_cell_angle_beta 68.85
_cell_angle_gamma 60.00
_symmetry_space_group_name_H-M 'P 1'
_symmetry_Int_Tables_number 1
_symmetry_space_group_name_Hall 'P 1'
loop_
_atom_site_label
_atom_site_fract_x
_atom_site_fract_y
_atom_site_fract_z
_atom_site_occupancy
Si1 0.277 0.277 0.170 1
Nd1 0.500 0.500 0.500 1
Ti1 0.000 0.000 0.000 1
Si2 0.723 0.723 0.830 1
```

Record 8
## NdMn3Ge3 (PBE)

Data for crystalline NdMn3Ge3 at its relaxed geometry.

Properties
The value obtained for the total DFT energy (no corrections) is -6.3795 eV/atom. As for the space-group type: Pm-3n, No. 223.

Structure (CIF):
```
data_NdMn3Ge3
_cell_length_a 6.697
_cell_length_b 6.697
_cell_length_c 6.697
_cell_angle_alpha 90.00
_cell_angle_beta 90.00
_cell_angle_gamma 90.00
_symmetry_space_group_name_H-M 'P 1'
_symmetry_Int_Tables_number 1
_symmetry_space_group_name_Hall 'P 1'
loop_
_atom_site_label
_atom_site_fract_x
_atom_site_fract_y
_atom_site_fract_z
_atom_site_occupancy
Mn1 0.000 0.500 0.750 1
Mn2 0.750 0.000 0.500 1
Nd1 0.500 0.500 0.500 1
Mn3 0.500 0.250 0.000 1
Nd2 0.000 0.000 0.000 1
Mn4 0.500 0.750 0.000 1
Ge1 0.000 0.250 0.500 1
Mn5 0.250 0.000 0.500 1
Ge2 0.500 0.000 0.250 1
Ge3 0.750 0.500 0.000 1
Ge4 0.500 0.000 0.750 1
Ge5 0.000 0.750 0.500 1
Ge6 0.250 0.500 0.000 1
Mn6 0.000 0.500 0.250 1
```

Record 9
## PmDy4Ho2Er (PBE)

Data for crystalline PmDy4Ho2Er at its relaxed geometry.

Properties
The value obtained for the total DFT energy (no corrections) is -4.1698 eV/atom. As for the space-group type: Imma, No. 74.

Structure (CIF):
```
data_PmDy4Ho2Er
_cell_length_a 9.470
_cell_length_b 9.470
_cell_length_c 11.728
_cell_angle_alpha 128.26
_cell_angle_beta 128.26
_cell_angle_gamma 88.70
_symmetry_space_group_name_H-M 'P 1'
_symmetry_Int_Tables_number 1
_symmetry_space_group_name_Hall 'P 1'
loop_
_atom_site_label
_atom_site_fract_x
_atom_site_fract_y
_atom_site_fract_z
_atom_site_occupancy
Er1 0.500 0.500 0.500 1
Ho1 0.500 0.000 0.500 1
Dy1 0.749 0.752 0.501 1
Dy2 0.749 0.248 0.999 1
Pm1 0.000 0.500 0.500 1
Ho2 0.000 0.000 0.500 1
Dy3 0.251 0.248 0.499 1
Dy4 0.252 0.751 0.501 1
Dy5 0.748 0.751 0.999 1
Ho3 0.500 0.500 0.000 1
Dy6 0.251 0.752 0.001 1
Dy7 0.748 0.249 0.499 1
Ho4 0.500 0.000 0.000 1
Er2 0.000 0.000 0.000 1
Dy8 0.252 0.249 0.001 1
Pm2 0.000 0.500 0.000 1
```

Record 10
## Th6IrPt5 (PBE)

Data for crystalline Th6IrPt5 at its relaxed geometry.

Properties
The value obtained for the total DFT energy (no corrections) is -8.1433 eV/atom. As for the space-group type: C2/m, No. 12.

Structure (CIF):
```
data_Th6IrPt5
_cell_length_a 7.247
_cell_length_b 7.247
_cell_length_c 7.228
_cell_angle_alpha 99.53
_cell_angle_beta 99.53
_cell_angle_gamma 119.61
_symmetry_space_group_name_H-M 'P 1'
_symmetry_Int_Tables_number 1
_symmetry_space_group_name_Hall 'P 1'
loop_
_atom_site_label
_atom_site_fract_x
_atom_site_fract_y
_atom_site_fract_z
_atom_site_occupancy
Pt1 0.831 0.169 0.500 1
Th1 0.082 0.409 0.246 1
Pt2 0.666 0.334 0.000 1
Pt3 0.500 0.500 0.500 1
Th2 0.918 0.591 0.754 1
Pt4 0.169 0.831 0.500 1
Th3 0.756 0.756 0.248 1
Th4 0.409 0.082 0.246 1
Th5 0.244 0.244 0.752 1
Ir1 0.000 0.000 0.000 1
Th6 0.591 0.918 0.754 1
Pt5 0.334 0.666 0.000 1
```

Record 11
## La2RuO (PBE)

Data for crystalline La2RuO at its relaxed geometry.

Properties
As for the uncorrected formation energy: -1062.2 meV per atom. As for the space-group type: R-3m, No. 166.

Structure (CIF):
```
data_La2RuO
_cell_length_a 4.389
_cell_length_b 4.389
_cell_length_c 7.714
_cell_angle_alpha 73.47
_cell_angle_beta 73.47
_cell_angle_gamma 60.00
_symmetry_space_group_name_H-M 'P 1'
_symmetry_Int_Tables_number 1
_symmetry_space_group_name_Hall 'P 1'
loop_
_atom_site_label
_atom_site_fract_x
_atom_site_fract_y
_atom_site_fract_z
_atom_site_occupancy
La1 0.098 0.098 0.706 1
Ru1 0.500 0.500 0.500 1
La2 0.902 0.902 0.294 1
O1 0.000 0.000 0.000 1
```

Record 12
## Ca3AgCl8 (PBE)

Data for crystalline Ca3AgCl8 at its relaxed geometry.

Properties
As for the uncorrected formation energy: -1808.5 meV per atom. As for the space-group type: Cm, No. 8.

Structure (CIF):
```
data_Ca3AgCl8
_cell_length_a 5.502
_cell_length_b 8.921
_cell_length_c 8.772
_cell_angle_alpha 106.78
_cell_angle_beta 108.28
_cell_angle_gamma 90.00
_symmetry_space_group_name_H-M 'P 1'
_symmetry_Int_Tables_number 1
_symmetry_space_group_name_Hall 'P 1'
loop_
_atom_site_label
_atom_site_fract_x
_atom_site_fract_y
_atom_site_fract_z
_atom_site_occupancy
Cl1 0.623 0.006 0.246 1
Cl2 0.861 0.286 0.723 1
Cl3 0.155 0.723 0.310 1
Ca1 0.385 0.282 0.769 1
Cl4 0.432 0.617 0.864 1
Cl5 0.379 0.980 0.758 1
Ag1 0.299 0.691 0.597 1
Ca2 0.702 0.309 0.403 1
Cl6 0.767 0.642 0.535 1
Cl7 0.555 0.384 0.111 1
Ca3 0.613 0.709 0.225 1
Cl8 0.228 0.341 0.455 1
```

no.,total magnetization (μB/atom)
1,0.00
2,1.06
3,0.00
4,0.00
5,0.00
6,0.00
7,0.00
8,1.33
9,0.42
10,0.00
11,0.00
12,0.08